Computed, not measured: Sc3PaAg2 after structural relaxation at the PBE-GGA level of DFT.

a b c (Å): 3.3896 3.3896 11.3099
angles (deg): 90.00 90.00 90.00
Space group P4/mmm (No. 123)
Unique sites:
Sc 0.0000 0.0000 0.0000
Sc 0.0000 0.0000 0.3102
Pa 0.5000 0.5000 0.5000
Ag 0.5000 0.5000 0.1527

Calculated values
**Spin magnetization**: 0.001 μB/cell

---

Computed, not measured: Sr8InRhAu2 after structural relaxation at the PBE-GGA level of DFT.

a b c (Å): 7.2806 9.4633 7.4236
angles (deg): 90.00 91.20 90.00
Space group P2/m (No. 10)
Unique sites:
Sr 0.2281 0.0000 0.3499
Sr 0.2499 0.5000 0.3209
Sr 0.2686 0.2780 0.8371
In 0.5000 0.0000 0.0000
Rh 0.5000 0.5000 0.0000
Au 0.0000 0.2574 0.5000

Calculated values
**Spin magnetization**: 0.000 μB/cell

---

Computed, not measured: TiCrN3 after structural relaxation at the PBE-GGA level of DFT.

a b c (Å): 3.6529 3.6529 3.6529
angles (deg): 90.00 90.00 90.00
Space group Pm-3m (No. 221)
Unique sites:
Ti 0.0000 0.0000 0.0000
Cr 0.5000 0.5000 0.5000
N 0.0000 0.5000 0.5000

Calculated values
**Energy relative to the elements, uncorrected**: 173 meV per atom
**Spin magnetization**: 0.584 μB/cell

---

Computed, not measured: PmHoCo4 after structural relaxation at the PBE-GGA level of DFT.

a b c (Å): 7.2196 7.2196 7.2196
angles (deg): 90.00 90.00 90.00
Space group F-43m (No. 216)
Unique sites:
Pm 0.0000 0.0000 0.0000
Ho 0.2500 0.2500 0.7500
Co 0.1245 0.1245 0.3755

Calculated values
**Spin magnetization**: 15.277 μB/cell

---

In the order shown, the computed E values come out to -5.830, -2.875, -8.326, -6.434 eV per atom.